# PBE-GGA Pm6Dy3Ho2, relaxed
data_Pm6Dy3Ho2
_chemical_formula_sum 'Pm12 Dy6 Ho4'
_space_group_name_H-M_alt 'I 4/m m m'
_space_group_IT_number 139
_space_group_name_Hall '-I 4 2'
_cell_length_a 4.768
_cell_length_b 4.768
_cell_length_c 33.594
_cell_angle_alpha 90.00
_cell_angle_beta 90.00
_cell_angle_gamma 90.00
loop_
_atom_site_label
_atom_site_type_symbol
_atom_site_fract_x
_atom_site_fract_y
_atom_site_fract_z
_atom_site_occupancy
Pm1 Pm 0.000 0.000 0.200 1
Pm2 Pm 0.000 0.500 0.120 1
Dy1 Dy 0.000 0.000 0.302 1
Dy2 Dy 0.000 0.000 0.500 1
Ho1 Ho 0.000 0.000 0.045 1
# distance to the lowest polymorph of the same formula = 6.44 kcal/mol of atoms
# D(E_F) = 16.124 states/eV/f.u.
# mass density = 7.34 Mg/m³
# electronic total energy = -4.386 eV/atom
# total magnetic moment = 0.0 μB per formula unit


# PBE-GGA Li2AcPrS4, relaxed
data_Li2AcPrS4
_chemical_formula_sum 'Li2 Ac1 Pr1 S4'
_space_group_name_H-M_alt 'P 1 2/m 1'
_space_group_IT_number 10
_cell_length_a 6.693
_cell_length_b 4.196
_cell_length_c 7.291
_cell_angle_alpha 90.00
_cell_angle_beta 111.37
_cell_angle_gamma 90.00
loop_
_space_group_symop_operation_xyz
'x,y,z'
'-x,-y,-z'
'-x,y,-z'
'x,-y,z'
loop_
_atom_site_label
_atom_site_type_symbol
_atom_site_fract_x
_atom_site_fract_y
_atom_site_fract_z
_atom_site_occupancy
Li1 Li 0.000 0.000 0.000 1
Li2 Li 0.000 0.500 0.500 1
Ac1 Ac 0.500 0.000 0.500 1
Pr1 Pr 0.500 0.500 0.000 1
S1 S 0.239 0.500 0.236 1
S2 S 0.241 0.000 0.755 1
# formation energy (no corrections) = -1.761 eV per atom
# D(E_F) = 0.000 states/eV/f.u.
# mass density = 4.44 Mg/m³
# electronic total energy = -5.414 eV/atom
# total magnetic moment = 0.0 μB per formula unit